[1]
Tb4Dy2Er2Tm: relaxed, PBE.

abc: 18.505 3.563 9.456
angles: 90.00 115.75 90.00
Space group C2/m (No. 12)
Symmetry-distinct sites (fractional):
Tb 0.018 0.000 0.332 (multiplicity 4)
Tb 0.185 0.500 0.332 (multiplicity 4)
Dy 0.148 0.500 0.667 (multiplicity 4)
Er 0.167 0.000 0.999 (multiplicity 4)
Tm 0.000 0.500 0.000 (multiplicity 2)


[2]
Tb2Dy6Er3Tm: relaxed, PBE.

abc: 6.105 10.563 11.673
angles: 90.00 99.98 90.00
Space group C2/m (No. 12)
Symmetry-distinct sites (fractional):
Tb 0.000 0.167 0.000 (multiplicity 4)
Dy 0.249 0.500 0.749 (multiplicity 4)
Dy 0.250 0.166 0.749 (multiplicity 8)
Er 0.000 0.000 0.500 (multiplicity 2)
Er 0.000 0.333 0.500 (multiplicity 4)
Tm 0.000 0.500 0.000 (multiplicity 2)


[3]
TbDy3Er6Tm2: relaxed, PBE.

abc: 6.079 10.516 11.625
angles: 90.00 99.99 90.00
Space group C2/m (No. 12)
Symmetry-distinct sites (fractional):
Tb 0.000 0.000 0.000 (multiplicity 2)
Dy 0.000 0.167 0.500 (multiplicity 4)
Dy 0.000 0.500 0.500 (multiplicity 2)
Er 0.250 0.000 0.751 (multiplicity 4)
Er 0.250 0.167 0.249 (multiplicity 8)
Tm 0.000 0.333 0.000 (multiplicity 4)


[4]
TbDy2Er5Tm: relaxed, PBE.

abc: 8.776 8.776 14.637
angles: 90.00 90.00 90.00
Space group I4/mcm (No. 140)
Symmetry-distinct sites (fractional):
Tb 0.000 0.000 0.250 (multiplicity 4)
Dy 0.114 0.386 0.000 (multiplicity 8)
Er 0.000 0.000 0.000 (multiplicity 4)
Er 0.206 0.294 0.366 (multiplicity 16)
Tm 0.000 0.500 0.250 (multiplicity 4)


[5]
Tb6Dy2ErTm: relaxed, PBE.

abc: 9.000 14.973 9.522
angles: 90.00 97.90 90.00
Space group C2/c (No. 15)
Symmetry-distinct sites (fractional):
Tb 0.061 0.185 0.444 (multiplicity 8)
Tb 0.103 0.393 0.620 (multiplicity 8)
Tb 0.206 0.223 0.814 (multiplicity 8)
Dy 0.250 0.052 0.044 (multiplicity 8)
Er 0.000 0.023 0.750 (multiplicity 4)
Tm 0.000 0.409 0.250 (multiplicity 4)


[6]
Tb6DyEr3Tm2: relaxed, PBE.

abc: 6.111 10.574 11.663
angles: 90.00 100.01 90.00
Space group C2/m (No. 12)
Symmetry-distinct sites (fractional):
Tb 0.249 0.167 0.250 (multiplicity 8)
Tb 0.250 0.000 0.750 (multiplicity 4)
Dy 0.000 0.500 0.500 (multiplicity 2)
Er 0.000 0.000 0.000 (multiplicity 2)
Er 0.000 0.333 0.000 (multiplicity 4)
Tm 0.000 0.167 0.500 (multiplicity 4)


[7]
Tb5DyErTm2: relaxed, PBE.

abc: 5.551 19.805 10.506
angles: 90.00 90.00 90.00
Space group Cmc2_1 (No. 36)
Symmetry-distinct sites (fractional):
Tb 0.000 0.017 0.000 (multiplicity 4)
Tb 0.000 0.281 0.287 (multiplicity 4)
Tb 0.000 0.300 0.685 (multiplicity 4)
Tb 0.000 0.389 0.001 (multiplicity 4)
Tb 0.000 0.480 0.717 (multiplicity 4)
Dy 0.000 0.199 0.989 (multiplicity 4)
Er 0.000 0.412 0.435 (multiplicity 4)
Tm 0.000 0.110 0.716 (multiplicity 4)
Tm 0.000 0.114 0.294 (multiplicity 4)


[8]
Tb2DyErTm2: relaxed, PBE.

abc: 6.934 9.582 5.556
angles: 90.00 90.00 90.00
Space group Pnnm (No. 58)
Symmetry-distinct sites (fractional):
Tb 0.249 0.167 0.000 (multiplicity 4)
Dy 0.000 0.500 0.000 (multiplicity 2)
Er 0.000 0.000 0.500 (multiplicity 2)
Tm 0.250 0.334 0.500 (multiplicity 4)


[9]
TbDy5YEr2: relaxed, PBE.

abc: 5.581 19.874 10.514
angles: 90.00 90.00 90.00
Space group Cmc2_1 (No. 36)
Symmetry-distinct sites (fractional):
Tb 0.000 0.200 0.000 (multiplicity 4)
Dy 0.000 0.017 0.012 (multiplicity 4)
Dy 0.000 0.280 0.297 (multiplicity 4)
Dy 0.000 0.300 0.697 (multiplicity 4)
Dy 0.000 0.390 0.012 (multiplicity 4)
Dy 0.000 0.479 0.727 (multiplicity 4)
Y 0.000 0.413 0.443 (multiplicity 4)
Er 0.000 0.110 0.726 (multiplicity 4)
Er 0.000 0.113 0.306 (multiplicity 4)


[10]
Tb6Dy2Y3Er: relaxed, PBE.

abc: 6.161 10.662 11.778
angles: 90.00 99.98 90.00
Space group C2/m (No. 12)
Symmetry-distinct sites (fractional):
Tb 0.250 0.000 0.249 (multiplicity 4)
Tb 0.250 0.167 0.751 (multiplicity 8)
Dy 0.000 0.167 0.000 (multiplicity 4)
Y 0.000 0.000 0.500 (multiplicity 2)
Y 0.000 0.333 0.500 (multiplicity 4)
Er 0.000 0.500 0.000 (multiplicity 2)


[11]
Tb2DyY3Er6: relaxed, PBE.

abc: 6.125 10.596 11.711
angles: 90.00 100.00 90.00
Space group C2/m (No. 12)
Symmetry-distinct sites (fractional):
Tb 0.000 0.167 0.000 (multiplicity 4)
Dy 0.000 0.500 0.000 (multiplicity 2)
Y 0.000 0.000 0.500 (multiplicity 2)
Y 0.000 0.333 0.500 (multiplicity 4)
Er 0.250 0.000 0.249 (multiplicity 4)
Er 0.250 0.167 0.751 (multiplicity 8)


[12]
Tb2Dy6YEr: relaxed, PBE.

abc: 8.999 15.054 9.544
angles: 90.00 97.75 90.00
Space group C2/c (No. 15)
Symmetry-distinct sites (fractional):
Tb 0.249 0.054 0.457 (multiplicity 8)
Dy 0.061 0.312 0.944 (multiplicity 8)
Dy 0.104 0.106 0.120 (multiplicity 8)
Dy 0.205 0.276 0.314 (multiplicity 8)
Y 0.000 0.478 0.250 (multiplicity 4)
Er 0.000 0.091 0.750 (multiplicity 4)


[13]
Tb4DyY2Er2: relaxed, PBE.

abc: 18.612 3.583 9.511
angles: 90.00 115.77 90.00
Space group C2/m (No. 12)
Symmetry-distinct sites (fractional):
Tb 0.018 0.000 0.332 (multiplicity 4)
Tb 0.185 0.500 0.333 (multiplicity 4)
Dy 0.000 0.500 0.000 (multiplicity 2)
Y 0.148 0.500 0.667 (multiplicity 4)
Er 0.167 0.000 0.001 (multiplicity 4)


[14]
TbDy3YEr: relaxed, PBE.

abc: 19.320 5.700 6.995
angles: 90.00 90.44 90.00
Space group C2/m (No. 12)
Symmetry-distinct sites (fractional):
Tb 0.051 0.000 0.257 (multiplicity 4)
Dy 0.020 0.500 0.745 (multiplicity 4)
Dy 0.164 0.000 0.742 (multiplicity 4)
Dy 0.218 0.000 0.250 (multiplicity 4)
Y 0.148 0.500 0.030 (multiplicity 4)
Er 0.148 0.500 0.465 (multiplicity 4)


[15]
TbDy2YEr2: relaxed, PBE.

abc: 6.937 16.059 3.482
angles: 90.00 90.00 90.00
Space group Pnnm (No. 58)
Symmetry-distinct sites (fractional):
Tb 0.000 0.000 0.000 (multiplicity 2)
Dy 0.250 0.158 0.500 (multiplicity 4)
Y 0.000 0.500 0.500 (multiplicity 2)
Er 0.249 0.845 0.500 (multiplicity 4)


[16]
Tb2Dy2Y2Er: relaxed, PBE.

abc: 5.6602 5.6602 24.3581
angles: 90.00 90.00 120.00
Space group R-3m (No. 166, hexagonal axes)
Symmetry-distinct sites (fractional):
Tb 0.0000 0.0000 0.2128 (multiplicity 6)
Dy 0.0000 0.0000 0.0708 (multiplicity 6)
Y 0.0000 0.0000 0.3573 (multiplicity 6)
Er 0.0000 0.0000 0.5000 (multiplicity 3)


[17]
Tb2DyYEr6: relaxed, PBE.

abc: 8.955 14.968 9.512
angles: 90.00 97.94 90.00
Space group C2/c (No. 15)
Symmetry-distinct sites (fractional):
Tb 0.249 0.054 0.044 (multiplicity 8)
Dy 0.000 0.409 0.250 (multiplicity 4)
Y 0.000 0.022 0.750 (multiplicity 4)
Er 0.062 0.189 0.443 (multiplicity 8)
Er 0.104 0.394 0.620 (multiplicity 8)
Er 0.203 0.225 0.815 (multiplicity 8)


[18]
Tb2DyY5Er: relaxed, PBE.

abc: 8.740 8.740 15.218
angles: 90.00 90.00 90.00
Space group I4/mcm (No. 140)
Symmetry-distinct sites (fractional):
Tb 0.115 0.385 0.000 (multiplicity 8)
Dy 0.000 0.000 0.250 (multiplicity 4)
Y 0.000 0.000 0.000 (multiplicity 4)
Y 0.207 0.293 0.364 (multiplicity 16)
Er 0.000 0.500 0.250 (multiplicity 4)


[19]
TbDyY2Er2: relaxed, PBE.

abc: 6.505 17.701 3.383
angles: 90.00 90.00 90.00
Space group Pnnm (No. 58)
Symmetry-distinct sites (fractional):
Tb 0.000 0.000 0.000 (multiplicity 2)
Dy 0.000 0.500 0.000 (multiplicity 2)
Y 0.228 0.185 0.000 (multiplicity 4)
Er 0.227 0.354 0.500 (multiplicity 4)


| no. | formation energy from the elements (eV/atom) | raw total energy (eV per atom) |
| --- | --- | --- |
| 1 | 0.01 | -4.585 |
| 2 | 0.02 | -4.568 |
| 3 | 0.02 | -4.542 |
| 4 | 0.30 | -4.264 |
| 5 | 0.12 | -4.484 |
| 6 | 0.02 | -4.566 |
| 7 | 0.16 | -4.429 |
| 8 | 0.07 | -4.488 |
| 9 | 0.16 | -4.642 |
| 10 | 0.02 | -5.061 |
| 11 | 0.02 | -5.030 |
| 12 | 0.12 | -4.674 |
| 13 | 0.00 | -5.016 |
| 14 | 0.22 | -4.695 |
| 15 | 0.16 | -4.740 |
| 16 | 0.14 | -4.997 |
| 17 | 0.12 | -4.652 |
| 18 | 0.28 | -5.354 |
| 19 | 0.27 | -4.943 |